Compound: ThAgIr
Source: OQMD via LeMat-Bulk
Functional: PBE
Structure: relaxed

POSCAR file:
```
ThAgIr
1.0
3.348 -1.288 3.175
2.903 3.307 1.894
-0.462 1.239 4.604
Ag Ir Th
1 1 1
direct
0.750 0.750 0.750
0.250 0.250 0.250
0.000 0.000 0.000
```

Computed properties:
* space-group type: No. 216
* magnetic moment: 0.00 μB/f.u.
* calculated density: 11369 kg/m³
* energy of formation from the pure elements: 0.073 eV per atom
* V: 25.9 Å³ per atom